(1)
DFT (PBE-GGA) results for an optimized crystal structure of LaHfAg2Cl.

Computed properties:
The formation energy from raw total energies is -0.03 eV per atom. The magnetic moment is 0.000 μB per formula unit. The calculated density is 6.939 Mg/m³. As for the space-group type: P4/mmm, No. 123. The excess energy over the best structure of this formula in the dataset comes out at 0.000 eV/f.u.

Lattice parameters (Å, degrees): 5.3325 5.3325 4.7850 90.00 90.00 90.00
Positions (direct):
La 0.0000 0.0000 0.0000
Hf 0.5000 0.5000 0.5000
Ag 0.0000 0.5000 0.5000
Ag 0.5000 0.0000 0.5000
Cl 0.5000 0.5000 0.0000



(2)
DFT (PBE-GGA) results for an optimized crystal structure of Sm6YTh3.

Computed properties:
The magnetic moment is 0.000 μB per formula unit. The calculated density is 8.392 Mg/m³. The value obtained for the calculated formation energy is 1.6 eV per formula unit. As for the space-group type: P2_1/m, No. 11.

Lattice parameters (Å, degrees): 12.1907 3.5320 15.5885 90.00 95.84 90.00
Positions (direct):
Sm 0.0237 0.2500 0.3867
Sm 0.0644 0.7500 0.1776
Sm 0.1879 0.2500 0.7711
Sm 0.2718 0.2500 0.2960
Sm 0.3847 0.2500 0.9320
Sm 0.3923 0.7500 0.4620
Sm 0.6077 0.2500 0.5380
Sm 0.6153 0.7500 0.0680
Sm 0.7282 0.7500 0.7040
Sm 0.8121 0.7500 0.2289
Sm 0.9356 0.2500 0.8224
Sm 0.9763 0.7500 0.6133
Y 0.4371 0.7500 0.7084
Y 0.5629 0.2500 0.2916
Th 0.1261 0.7500 0.9761
Th 0.2132 0.2500 0.5708
Th 0.3576 0.7500 0.1260
Th 0.6424 0.2500 0.8740
Th 0.7868 0.7500 0.4292
Th 0.8739 0.2500 0.0239



(3)
DFT (PBE-GGA) results for an optimized crystal structure of CaCuP4.

Computed properties:
The magnetic moment is 0.000 μB per formula unit. The calculated density is 3.739 Mg/m³. The value obtained for the calculated formation energy is 0.7 eV per formula unit. As for the space-group type: F-43m, No. 216.

Lattice parameters (Å, degrees): 5.2283 5.2283 5.2283 60.00 60.00 60.00
Positions (direct):
Ca 0.0000 0.0000 0.0000
Cu 0.7500 0.7500 0.7500
P 0.3840 0.3840 0.3840
P 0.3840 0.3840 0.8480
P 0.3840 0.8480 0.3840
P 0.8480 0.3840 0.3840



(4)
DFT (PBE-GGA) results for an optimized crystal structure of KNaSb2Te.

Computed properties:
The formation energy from raw total energies is 0.67 eV per atom. The magnetic moment is 0.000 μB per formula unit. The calculated density is 3.318 Mg/m³. As for the space-group type: P4/mmm, No. 123. The excess energy over the best structure of this formula in the dataset comes out at 2.420 eV/f.u.

Lattice parameters (Å, degrees): 5.9650 5.9650 6.0932 90.00 90.00 90.00
Positions (direct):
K 0.0000 0.0000 0.0000
Na 0.5000 0.5000 0.5000
Sb 0.0000 0.5000 0.0000
Sb 0.5000 0.0000 0.0000
Te 0.0000 0.0000 0.5000